[1]
Density functional theory data (PBE) for an optimized crystal structure of Li2SbAu.

- E_form (uncorrected): -1.94 eV/f.u.
- Raw total energy: -3.293 eV per atom

Unit cell a=4.793 b=4.793 c=3.272 alpha=90.00 beta=90.00 gamma=105.00
Atoms (fractional coordinates):
Li  0.500  0.500  0.000
Li  0.000  0.000  0.000
Sb  0.500  0.000  0.500
Au  0.000  0.500  0.500

***

[2]
Density functional theory data (PBE) for an optimized crystal structure of LiSb2Au6.

- E_form (uncorrected): -0.97 eV/f.u.
- Raw total energy: -3.422 eV per atom

Unit cell a=4.934 b=7.035 c=7.650 alpha=63.90 beta=56.39 gamma=61.49
Atoms (fractional coordinates):
Au  0.853  0.959  0.323
Au  0.423  0.729  0.414
Au  0.147  0.041  0.677
Au  0.577  0.271  0.586
Au  0.742  0.776  0.782
Au  0.258  0.224  0.218
Sb  0.933  0.314  0.949
Sb  0.067  0.686  0.051
Li  0.000  0.500  0.500